# CaFeCo3 GGA-PBE relaxed
data_CaFeCo3
_chemical_formula_sum 'Ca1 Fe1 Co3'
_cell_length_a 4.402
_cell_length_b 4.402
_cell_length_c 4.402
_cell_angle_alpha 90.00
_cell_angle_beta 90.00
_cell_angle_gamma 90.00
_space_group_name_H-M_alt 'P 1'
_space_group_IT_number 1
loop_
_space_group_symop_operation_xyz
'x,y,z'
loop_
_atom_site_label
_atom_site_fract_x
_atom_site_fract_y
_atom_site_fract_z
Co1 0.500 0.000 0.000
Co2 0.000 0.000 0.500
Co3 0.000 0.500 0.000
Ca1 0.500 0.500 0.500
Fe1 0.000 0.000 0.000
# DFT formation energy = 0.63 eV/atom
# Space group = No. 221
# Offset from the most stable computed form = 0.000 eV per atom
# D(E_F) = 4.97 states/eV/f.u.
# Raw total energy = -5.7231 eV/atom
# ρ = 5.3 g cm⁻³

=====

# YSbSe2I GGA-PBE relaxed
data_YSbSe2I
_chemical_formula_sum 'Y1 Sb1 Se2 I1'
_cell_length_a 5.280
_cell_length_b 6.045
_cell_length_c 5.280
_cell_angle_alpha 90.00
_cell_angle_beta 90.00
_cell_angle_gamma 90.00
_space_group_name_H-M_alt 'P 1'
_space_group_IT_number 1
loop_
_space_group_symop_operation_xyz
'x,y,z'
loop_
_atom_site_label
_atom_site_fract_x
_atom_site_fract_y
_atom_site_fract_z
I1 0.500 0.500 0.500
Se1 0.000 0.000 0.500
Se2 0.500 0.000 0.000
Y1 0.000 0.500 0.000
Sb1 0.000 0.000 0.000
# Space group = No. 123
# D(E_F) = 6.63 states/eV/f.u.
# Raw total energy = -3.9220 eV/atom
# E_form (uncorrected) = -0.10 eV/atom
# ρ = 4.9 g cm⁻³